# LiMn2O3F | Alexandria via LeMat-Bulk | PBE+U | relaxed
data_LiMn2O3F
_cell_length_a 10.378
_cell_length_b 4.956
_cell_length_c 5.799
_cell_angle_alpha 90.00
_cell_angle_beta 90.00
_cell_angle_gamma 90.00
_symmetry_space_group_name_H-M 'P n a 21'
_symmetry_Int_Tables_number 33
loop_
_symmetry_equiv_pos_as_xyz
'x,y,z'
'-x,-y,z+1/2'
'-x+1/2,y+1/2,z+1/2'
'x+1/2,-y+1/2,z'
loop_
_atom_site_label
_atom_site_fract_x
_atom_site_fract_y
_atom_site_fract_z
Li1 0.086 0.028 0.000
Mn1 0.010 0.480 0.251
Mn2 0.232 0.954 0.487
O1 0.071 0.735 0.494
O2 0.098 0.654 0.997
O3 0.176 0.218 0.239
F1 0.153 0.212 0.742
# offset from the most stable computed form: 53.6 meV per atom